Record 1
A relaxed TaCdGe2 crystal. Source: the Alexandria database, functional PBE.

a b c (Å): 7.454 7.454 6.032
angles (deg): 51.84 51.84 90.00
Atoms (fractional coordinates):
Ge (0.645, 0.125, 0.250)
Ge (0.105, 0.625, 0.250)
Ge (0.375, 0.355, 0.750)
Ge (0.875, 0.895, 0.750)
Cd (0.500, 0.500, 0.000)
Cd (0.250, 0.750, 0.500)
Ta (0.000, 0.000, 0.000)
Ta (0.750, 0.250, 0.500)

As for the symmetry: I-42d, No. 122. The final energy is -0.367 Ry per atom. The calculation puts the total magnetization at 0.0 μB/cell.


Record 2
A relaxed Tl5SnSb4 crystal. Source: the Alexandria database, functional PBE.

a b c (Å): 4.069 9.690 10.570
angles (deg): 125.76 101.10 90.00
Atoms (fractional coordinates):
Tl (0.162, 0.255, 0.324)
Tl (0.175, 0.650, 0.349)
Tl (0.825, 0.350, 0.651)
Tl (0.500, 0.500, 0.000)
Tl (0.838, 0.745, 0.676)
Sn (0.500, 0.000, 0.000)
Sb (0.675, 0.939, 0.350)
Sb (0.958, 0.177, 0.917)
Sb (0.325, 0.061, 0.650)
Sb (0.042, 0.823, 0.083)

As for the symmetry: C2/m, No. 12. The final energy is -0.235 Ry per atom. For the energy above the lowest structure with this stoichiometry, the calculation gives 0 meV/atom. The calculation puts the total magnetization at 0.0 μB/cell.


Record 3
A relaxed Nb5Re2Mo2 crystal. Source: the Alexandria database, functional PBE.

a b c (Å): 6.457 6.599 8.301
angles (deg): 113.42 90.00 90.00
Atoms (fractional coordinates):
Nb (0.000, 0.000, 0.000)
Nb (0.500, 0.500, 0.000)
Nb (0.804, 0.832, 0.280)
Nb (0.196, 0.448, 0.280)
Nb (0.304, 0.948, 0.280)
Nb (0.696, 0.332, 0.280)
Nb (0.196, 0.168, 0.720)
Nb (0.804, 0.552, 0.720)
Nb (0.696, 0.052, 0.720)
Nb (0.304, 0.668, 0.720)
Re (0.624, 0.865, 0.000)
Re (0.376, 0.135, 0.000)
Re (0.124, 0.635, 0.000)
Re (0.876, 0.365, 0.000)
Mo (0.000, 0.236, 0.472)
Mo (0.500, 0.736, 0.472)
Mo (0.000, 0.764, 0.528)
Mo (0.500, 0.264, 0.528)

As for the symmetry: Cmce, No. 64. The final energy is -0.771 Ry per atom. The calculation puts the total magnetization at 0.0 μB/cell.


Record 4
A relaxed Nd12Co5Ge crystal. Source: the Alexandria database, functional PBE.

a b c (Å): 8.528 8.528 8.528
angles (deg): 107.92 110.75 109.76
Atoms (fractional coordinates):
Nd (0.515, 0.814, 0.701)
Nd (0.485, 0.186, 0.299)
Nd (0.888, 0.186, 0.701)
Nd (0.112, 0.814, 0.299)
Nd (0.696, 0.682, 0.377)
Nd (0.304, 0.318, 0.623)
Nd (0.304, 0.682, 0.986)
Nd (0.696, 0.318, 0.014)
Nd (0.811, 0.607, 0.796)
Nd (0.189, 0.393, 0.204)
Nd (0.189, 0.985, 0.796)
Nd (0.811, 0.015, 0.204)
Co (0.623, 0.623, 0.000)
Co (0.377, 0.377, 0.000)
Co (0.500, 0.113, 0.613)
Co (0.500, 0.887, 0.387)
Co (0.000, 0.000, 0.000)
Ge (0.000, 0.500, 0.500)

As for the symmetry: Immm, No. 71. The final energy is -0.408 Ry per atom. The calculation puts the total magnetization at 0.0 μB/cell.


Record 5
A relaxed Ca2Ag4F9 crystal. Source: the Alexandria database, functional PBE.

a b c (Å): 6.082 5.997 15.866
angles (deg): 92.53 89.99 59.55
Each line ends with the local moment (μB).
Atoms (fractional coordinates):
Ca (0.009, 0.012, 0.356)  0.00
Ca (0.022, 0.987, 0.144)  0.00
Ca (0.991, 0.988, 0.644)  0.00
Ca (0.978, 0.013, 0.856)  0.00
Ag (0.329, 0.324, 0.986)  0.25
Ag (0.347, 0.325, 0.486)  0.25
Ag (0.671, 0.676, 0.014)  0.25
Ag (0.357, 0.323, 0.193)  0.12
Ag (0.653, 0.675, 0.514)  0.25
Ag (0.679, 0.677, 0.307)  0.12
Ag (0.321, 0.323, 0.693)  0.12
Ag (0.643, 0.677, 0.807)  0.12
F (0.969, 0.280, 0.750)  0.02
F (0.249, 0.720, 0.750)  0.02
F (0.720, 0.000, 0.750)  0.01
F (0.031, 0.720, 0.250)  0.02
F (0.751, 0.280, 0.250)  0.02
F (0.280, 0.000, 0.250)  0.01
F (0.660, 0.005, 0.401)  0.06
F (0.983, 0.367, 0.422)  0.06
F (0.340, 0.712, 0.424)  0.03
F (0.664, 0.995, 0.099)  0.06
F (0.350, 0.632, 0.078)  0.06
F (0.052, 0.287, 0.076)  0.03
F (0.340, 0.995, 0.599)  0.06
F (0.017, 0.633, 0.578)  0.06
F (0.660, 0.288, 0.576)  0.03
F (0.336, 0.005, 0.901)  0.06
F (0.650, 0.368, 0.922)  0.06
F (0.948, 0.713, 0.924)  0.03

As for the symmetry: P-1, No. 2. The final energy is -0.316 Ry per atom. The calculation puts the total magnetization at 2.2 μB/cell.


Record 6
A relaxed TmPaAl2 crystal. Source: the Alexandria database, functional PBE.

a b c (Å): 4.233 4.615 4.615
angles (deg): 90.00 90.00 90.00
Atoms (fractional coordinates):
Pa (0.500, 0.500, 0.500)
Tm (0.500, 0.000, 0.000)
Al (0.000, 0.000, 0.500)
Al (0.000, 0.500, 0.000)

As for the symmetry: P4/mmm, No. 123. The final energy is -0.405 Ry per atom. For the energy above the lowest structure with this stoichiometry, the calculation gives 92 meV/atom. The calculation puts the total magnetization at 0.0 μB/cell.


Record 7
A relaxed MnHgSCl2 crystal. Source: the Alexandria database, functional PBE.

a b c (Å): 4.684 4.684 5.083
angles (deg): 90.00 90.00 90.00
Each line ends with the local moment (μB).
Atoms (fractional coordinates):
S (0.000, 0.000, 0.500)  0.00
Mn (0.000, 0.000, 0.000)  3.85
Hg (0.500, 0.500, 0.500)  -0.04
Cl (0.000, 0.500, 0.000)  0.04
Cl (0.500, 0.000, 0.000)  0.04

As for the symmetry: P4/mmm, No. 123. The final energy is -0.279 Ry per atom. For the energy above the lowest structure with this stoichiometry, the calculation gives 0 meV/atom. The calculation puts the total magnetization at 4.1 μB/cell.


Record 8
A relaxed Al2In crystal. Source: the Alexandria database, functional PBE.

a b c (Å): 3.086 3.086 7.380
angles (deg): 90.00 90.00 120.00
Atoms (fractional coordinates):
Al (0.667, 0.333, 0.649)
Al (0.333, 0.667, 0.351)
In (0.000, 0.000, 0.000)

As for the symmetry: P-3m1, No. 164. The final energy is -0.238 Ry per atom. The calculation puts the total magnetization at 0.0 μB/cell.


Record 9
A relaxed Nd4Te3Br4 crystal. Source: the Alexandria database, functional PBE.

a b c (Å): 4.050 8.981 10.357
angles (deg): 115.70 101.27 90.00
Atoms (fractional coordinates):
Nd (0.265, 0.765, 0.531)
Nd (0.735, 0.235, 0.469)
Nd (0.500, 0.776, 0.000)
Nd (0.500, 0.224, 0.000)
Te (0.096, 0.096, 0.191)
Te (0.904, 0.904, 0.809)
Te (0.000, 0.500, 0.000)
Br (0.326, 0.140, 0.653)
Br (0.674, 0.487, 0.347)
Br (0.674, 0.860, 0.347)
Br (0.326, 0.513, 0.653)

As for the symmetry: Immm, No. 71. The final energy is -0.350 Ry per atom. The calculation puts the total magnetization at 0.0 μB/cell.


Record 10
A relaxed RbBiN2 crystal. Source: the Alexandria database, functional PBE.

a b c (Å): 6.509 6.509 6.204
angles (deg): 58.36 58.36 90.00
Atoms (fractional coordinates):
Bi (0.000, 0.000, 0.000)
Bi (0.750, 0.250, 0.500)
Rb (0.500, 0.500, 0.000)
Rb (0.250, 0.750, 0.500)
N (0.722, 0.125, 0.250)
N (0.028, 0.625, 0.250)
N (0.375, 0.278, 0.750)
N (0.875, 0.972, 0.750)

As for the symmetry: I-42d, No. 122. The final energy is -0.347 Ry per atom. The calculation puts the total magnetization at 0.0 μB/cell.


Record 11
A relaxed Ag3BiPd crystal. Source: the Alexandria database, functional PBE.

a b c (Å): 5.037 5.037 5.037
angles (deg): 90.00 90.00 90.00
Atoms (fractional coordinates):
Pd (0.000, 0.000, 0.000)
Bi (0.500, 0.500, 0.500)
Ag (0.000, 0.500, 0.000)
Ag (0.000, 0.000, 0.500)
Ag (0.500, 0.000, 0.000)

As for the symmetry: Pm-3m, No. 221. The final energy is -0.216 Ry per atom. For the energy above the lowest structure with this stoichiometry, the calculation gives 0 meV/atom. The calculation puts the total magnetization at 0.0 μB/cell.


Record 12
A relaxed ThNbH3 crystal. Source: the Alexandria database, functional PBE.

a b c (Å): 3.878 3.878 3.878
angles (deg): 90.00 90.00 90.00
Atoms (fractional coordinates):
H (0.000, 0.500, 0.000)
H (0.000, 0.000, 0.500)
H (0.500, 0.000, 0.000)
Nb (0.000, 0.000, 0.000)
Th (0.500, 0.500, 0.500)

As for the symmetry: Pm-3m, No. 221. The final energy is -0.422 Ry per atom. The calculation puts the total magnetization at 0.0 μB/cell.